1.
This record from the Alexandria database describes AcTbPr4Sm2 after structural relaxation. The functional is GGA-PBE.

The structure in CIF format:
```
data_AcTbPr4Sm2
_chemical_formula_sum 'Ac1 Tb1 Pr4 Sm2'
_cell_length_a 5.229
_cell_length_b 5.259
_cell_length_c 10.490
_cell_angle_alpha 90.00
_cell_angle_beta 90.00
_cell_angle_gamma 90.00
_space_group_name_H-M_alt 'P m m m'
_space_group_IT_number 47
loop_
_space_group_symop_operation_xyz
'x,y,z'
'-x,-y,-z'
'-x,-y,z'
'x,y,-z'
'x,-y,-z'
'-x,y,z'
'-x,y,-z'
'x,-y,z'
loop_
_atom_site_label
_atom_site_type_symbol
_atom_site_fract_x
_atom_site_fract_y
_atom_site_fract_z
Ac1 Ac 0.000 0.000 0.000
Tb1 Tb 0.500 0.500 0.500
Pr1 Pr 0.000 0.500 0.257
Pr2 Pr 0.500 0.000 0.258
Sm1 Sm 0.000 0.000 0.500
Sm2 Sm 0.500 0.500 0.000
```

## Properties
For the energy relative to the elements, the calculation gives 0.021 eV/atom. The calculation puts the density of states at the Fermi level at 1.561 states/eV per atom. The mass density is 7.2 g/cm³.

---

2.
This record from the Alexandria database describes Ba4NaGa2B8Cl3O18 after structural relaxation. The functional is GGA-PBE.

The structure in CIF format:
```
data_Ba4NaGa2B8Cl3O18
_chemical_formula_sum 'Ba8 Na2 Ga4 B16 Cl6 O36'
_cell_length_a 12.300
_cell_length_b 12.300
_cell_length_c 6.953
_cell_angle_alpha 90.00
_cell_angle_beta 90.00
_cell_angle_gamma 90.00
_space_group_name_H-M_alt 'P 42 n m'
_space_group_IT_number 102
loop_
_space_group_symop_operation_xyz
'x,y,z'
'-y+1/2,x+1/2,z+1/2'
'-x,-y,z'
'y+1/2,-x+1/2,z+1/2'
'-x+1/2,y+1/2,z+1/2'
'y,x,z'
'x+1/2,-y+1/2,z+1/2'
'-y,-x,z'
loop_
_atom_site_label
_atom_site_type_symbol
_atom_site_fract_x
_atom_site_fract_y
_atom_site_fract_z
Ba1 Ba 0.018 0.279 0.000
Na1 Na 0.000 0.000 0.325
Ga1 Ga 0.205 0.205 0.504
B1 B 0.034 0.768 0.541
B2 B 0.181 0.819 0.304
B3 B 0.231 0.769 0.630
Cl1 Cl 0.000 0.000 0.944
Cl2 Cl 0.000 0.500 0.270
O1 O 0.060 0.801 0.355
O2 O 0.070 0.242 0.606
O3 O 0.114 0.745 0.674
O4 O 0.195 0.805 0.100
O5 O 0.198 0.198 0.238
O6 O 0.250 0.250 0.923
```

## Properties
For the electronic total energy, the calculation gives -507.936 eV/cell. The calculation puts the density of states at the Fermi level at 0.000 states/eV per atom. The mass density is 3.8 g/cm³.

---

3.
This record from the Alexandria database describes K12Hg3I5 after structural relaxation. The functional is GGA-PBE.

The structure in CIF format:
```
data_K12Hg3I5
_chemical_formula_sum 'K96 Hg24 I40'
_cell_length_a 21.002
_cell_length_b 21.002
_cell_length_c 21.002
_cell_angle_alpha 90.00
_cell_angle_beta 90.00
_cell_angle_gamma 90.00
_space_group_name_H-M_alt 'I a -3 d'
_space_group_IT_number 230
_space_group_name_Hall '-I 4bd 2c 3'
loop_
_atom_site_label
_atom_site_type_symbol
_atom_site_fract_x
_atom_site_fract_y
_atom_site_fract_z
K1 K 0.017 0.071 0.652
Hg1 Hg 0.000 0.250 0.125
I1 I 0.000 0.000 0.000
I2 I 0.000 0.250 0.375
```

## Properties
For the electronic total energy, the calculation gives -281.702 eV/cell. The calculation puts the density of states at the Fermi level at 0.772 states/eV per atom. The mass density is 2.4 g/cm³.

---

Calculated volume values, unit Å³/cell, following the record order: 288 1052 9263.